# GGA-PBE KNiAs, optimized geometry
data_KNiAs
_chemical_formula_sum 'K2 Ni2 As2'
_cell_length_a 6.247
_cell_length_b 7.764
_cell_length_c 4.130
_cell_angle_alpha 74.57
_cell_angle_beta 89.98
_cell_angle_gamma 55.25
_symmetry_space_group_name_H-M 'P 1'
_symmetry_Int_Tables_number 1
loop_
_symmetry_equiv_pos_as_xyz
'x,y,z'
loop_
_atom_site_label
_atom_site_fract_x
_atom_site_fract_y
_atom_site_fract_z
K1 0.395 0.562 0.899
K2 0.189 0.152 0.104
As1 0.850 0.617 0.372
As2 0.734 0.097 0.632
Ni1 0.766 0.773 0.794
Ni2 0.819 0.941 0.210
# energy: -4.22 eV per atom
# energy of formation from the pure elements: -373 meV/atom
# space-group type: No. 12